one | This record from Alexandria describes crystalline Ho2Cd3Hg4 at its relaxed geometry. The functional is GGA-PBE.

abc: 6.186 17.085 8.317
angles: 90.00 90.00 90.00
Space group Cmce (No. 64)
Asymmetric unit:
Ho 0.000 0.100 0.095 [8 per cell]
Cd 0.000 0.000 0.500 [4 per cell]
Cd 0.250 0.230 0.750 [8 per cell]
Hg 0.000 0.168 0.460 [8 per cell]
Hg 0.250 0.060 0.750 [8 per cell]

Summary:
Mass density   11.10 g cm⁻³
Calculated volume   879.0 Å³ per cell
Fermi-level density of states   25.13 states/eV/cell

=====

two | This record from Alexandria describes crystalline Ho2Cd3Hg4 at its relaxed geometry. The functional is GGA-PBE.

abc: 8.832 5.004 9.565
angles: 90.00 92.14 90.00
Space group C2/m (No. 12)
Asymmetric unit:
Ho 0.172 0.000 0.216 [4 per cell]
Cd 0.000 0.500 0.000 [2 per cell]
Cd 0.163 0.000 0.564 [4 per cell]
Hg 0.007 0.500 0.337 [4 per cell]
Hg 0.164 0.000 0.892 [4 per cell]

Summary:
Mass density   11.55 g cm⁻³
Calculated volume   422.4 Å³ per cell
Fermi-level density of states   7.40 states/eV/cell

=====

The energy of each structure relative to the most stable one, in eV/atom, is as follows: one 0.107; two 0.000.

=====

one | This record from Alexandria describes crystalline Ho3CdHg4 at its relaxed geometry. The functional is GGA-PBE.

abc: 3.546 6.912 17.318
angles: 90.00 90.00 90.00
Space group Immm (No. 71)
Asymmetric unit:
Ho 0.000 0.000 0.000 [2 per cell]
Ho 0.000 0.500 0.222 [4 per cell]
Cd 0.000 0.000 0.500 [2 per cell]
Hg 0.000 0.278 0.374 [8 per cell]

Summary:
Mass density   11.03 g cm⁻³
Calculated volume   424.4 Å³ per cell
Fermi-level density of states   8.99 states/eV/cell

=====

two | This record from Alexandria describes crystalline Ho3CdHg4 at its relaxed geometry. The functional is GGA-PBE.

abc: 5.1324 5.1324 25.8052
angles: 90.00 90.00 120.00
Space group R-3m (No. 166, hexagonal axes)
Asymmetric unit:
Ho 0.0000 0.0000 0.0000 [3 per cell]
Ho 0.0000 0.0000 0.2431 [6 per cell]
Cd 0.0000 0.0000 0.5000 [3 per cell]
Hg 0.0000 0.0000 0.1223 [6 per cell]
Hg 0.0000 0.0000 0.3693 [6 per cell]

Summary:
Mass density   11.93 g cm⁻³
Calculated volume   588.7 Å³ per cell
Fermi-level density of states   10.37 states/eV/cell

=====

The energy of each structure relative to the most stable one, in eV/atom, is as follows: one 0.126; two 0.000.

=====

one | This record from Alexandria describes crystalline HoCdInHg at its relaxed geometry. The functional is GGA-PBE.

abc: 7.284 7.284 7.284
angles: 90.00 90.00 90.00
Space group F-43m (No. 216)
Asymmetric unit:
Ho 0.000 0.000 0.000 [4 per cell]
Cd 0.000 0.000 0.500 [4 per cell]
In 0.250 0.250 0.250 [4 per cell]
Hg 0.250 0.250 0.750 [4 per cell]

Summary:
Mass density   10.19 g cm⁻³
Calculated volume   386.4 Å³ per cell
Fermi-level density of states   3.98 states/eV/cell

=====

two | This record from Alexandria describes crystalline HoCdInHg at its relaxed geometry. The functional is GGA-PBE.

abc: 4.281 4.747 4.748
angles: 90.00 90.00 90.00
Space group Pmmm (No. 47)
Asymmetric unit:
Ho 0.000 0.000 0.000 [1 per cell]
Cd 0.000 0.500 0.500 [1 per cell]
In 0.500 0.000 0.500 [1 per cell]
Hg 0.500 0.500 0.000 [1 per cell]

Summary:
Mass density   10.20 g cm⁻³
Calculated volume   96.5 Å³ per cell
Fermi-level density of states   2.19 states/eV/cell

=====

The energy of each structure relative to the most stable one, in eV/atom, is as follows: one 0.041; two 0.000.

=====

one | This record from Alexandria describes crystalline HoTlCdHg at its relaxed geometry. The functional is GGA-PBE.

abc: 4.238 4.820 4.854
angles: 90.00 90.00 90.00
Space group Pmmm (No. 47)
Asymmetric unit:
Ho 0.000 0.000 0.000 [1 per cell]
Tl 0.500 0.500 0.000 [1 per cell]
Cd 0.000 0.500 0.500 [1 per cell]
Hg 0.500 0.000 0.500 [1 per cell]

Summary:
Mass density   11.43 g cm⁻³
Calculated volume   99.2 Å³ per cell
Fermi-level density of states   1.89 states/eV/cell

=====

two | This record from Alexandria describes crystalline HoTlCdHg at its relaxed geometry. The functional is GGA-PBE.

abc: 7.323 7.323 7.323
angles: 90.00 90.00 90.00
Space group F-43m (No. 216)
Asymmetric unit:
Ho 0.000 0.000 0.000 [4 per cell]
Tl 0.250 0.250 0.750 [4 per cell]
Cd 0.000 0.000 0.500 [4 per cell]
Hg 0.250 0.250 0.250 [4 per cell]

Summary:
Mass density   11.54 g cm⁻³
Calculated volume   392.7 Å³ per cell
Fermi-level density of states   3.43 states/eV/cell

=====

The energy of each structure relative to the most stable one, in eV/atom, is as follows: one 0.000; two 0.016.

=====

one | This record from Alexandria describes crystalline CdHgI3 at its relaxed geometry. The functional is GGA-PBE.

abc: 16.642 4.312 13.344
angles: 90.00 110.24 90.00
Space group C2/m (No. 12)
Asymmetric unit:
Cd 0.218 0.000 0.414 [4 per cell]
Hg 0.084 0.500 0.818 [4 per cell]
I 0.114 0.500 0.265 [4 per cell]
I 0.116 0.500 0.628 [4 per cell]
I 0.123 0.000 0.966 [4 per cell]

Summary:
Mass density   5.13 g cm⁻³
Calculated volume   898.4 Å³ per cell
Fermi-level density of states   1.84 states/eV/cell

=====

two | This record from Alexandria describes crystalline CdHgI3 at its relaxed geometry. The functional is GGA-PBE.

abc: 5.930 5.930 5.930
angles: 90.00 90.00 90.00
Space group Pm-3m (No. 221)
Asymmetric unit:
Cd 0.000 0.000 0.000 [1 per cell]
Hg 0.500 0.500 0.500 [1 per cell]
I 0.000 0.000 0.500 [3 per cell]

Summary:
Mass density   5.52 g cm⁻³
Calculated volume   208.5 Å³ per cell
Fermi-level density of states   13.86 states/eV/cell

=====

The energy of each structure relative to the most stable one, in eV/atom, is as follows: one 0.000; two 0.182.

=====

one | This record from Alexandria describes crystalline CdHg2I at its relaxed geometry. The functional is GGA-PBE.

abc: 4.2984 4.2984 23.7720
angles: 90.00 90.00 120.00
Space group R3m (No. 160, hexagonal axes)
Asymmetric unit:
Cd 0.0000 0.0000 0.0000 [3 per cell]
Hg 0.0000 0.0000 0.4055 [3 per cell]
Hg 0.0000 0.0000 0.5921 [3 per cell]
I 0.0000 0.0000 0.8295 [3 per cell]

Summary:
Mass density   8.39 g cm⁻³
Calculated volume   380.4 Å³ per cell
Fermi-level density of states   2.94 states/eV/cell

=====

two | This record from Alexandria describes crystalline CdHg2I at its relaxed geometry. The functional is GGA-PBE.

abc: 3.3862 3.3862 37.8168
angles: 90.00 90.00 120.00
Space group R-3m (No. 166, hexagonal axes)
Asymmetric unit:
Cd 0.0000 0.0000 0.0000 [3 per cell]
Hg 0.0000 0.0000 0.0813 [6 per cell]
I 0.0000 0.0000 0.5000 [3 per cell]

Summary:
Mass density   8.50 g cm⁻³
Calculated volume   375.5 Å³ per cell
Fermi-level density of states   7.60 states/eV/cell

=====

three | This record from Alexandria describes crystalline CdHg2I at its relaxed geometry. The functional is GGA-PBE.

abc: 7.935 7.935 7.935
angles: 90.00 90.00 90.00
Space group Fm-3m (No. 225)
Asymmetric unit:
Cd 0.000 0.000 0.000 [4 per cell]
Hg 0.250 0.250 0.250 [8 per cell]
I 0.000 0.000 0.500 [4 per cell]

Summary:
Mass density   8.51 g cm⁻³
Calculated volume   499.7 Å³ per cell
Fermi-level density of states   14.34 states/eV/cell

=====

The energy of each structure relative to the most stable one, in eV/atom, is as follows: one 0.000; two 0.205; three 0.176.

=====

one | This record from Alexandria describes crystalline CdHgI2 at its relaxed geometry. The functional is GGA-PBE.

abc: 7.949 7.949 7.949
angles: 90.00 90.00 90.00
Space group Fm-3m (No. 225)
Asymmetric unit:
Cd 0.000 0.000 0.000 [4 per cell]
Hg 0.000 0.000 0.500 [4 per cell]
I 0.250 0.250 0.250 [8 per cell]

Summary:
Mass density   7.50 g cm⁻³
Calculated volume   502.3 Å³ per cell
Fermi-level density of states   6.80 states/eV/cell

=====

two | This record from Alexandria describes crystalline CdHgI2 at its relaxed geometry. The functional is GGA-PBE.

abc: 4.2977 4.2977 31.0423
angles: 90.00 90.00 120.00
Space group R-3m (No. 166, hexagonal axes)
Asymmetric unit:
Cd 0.0000 0.0000 0.0000 [3 per cell]
Hg 0.0000 0.0000 0.5000 [3 per cell]
I 0.0000 0.0000 0.2774 [6 per cell]

Summary:
Mass density   5.69 g cm⁻³
Calculated volume   496.6 Å³ per cell
Fermi-level density of states   0.00 states/eV/cell

=====

three | This record from Alexandria describes crystalline CdHgI2 at its relaxed geometry. The functional is GGA-PBE.

abc: 8.723 8.723 9.758
angles: 90.00 90.00 90.00
Space group I-42d (No. 122)
Asymmetric unit:
Cd 0.000 0.000 0.000 [4 per cell]
Hg 0.000 0.000 0.500 [4 per cell]
I 0.158 0.250 0.125 [8 per cell]

Summary:
Mass density   5.07 g cm⁻³
Calculated volume   742.5 Å³ per cell
Fermi-level density of states   0.00 states/eV/cell

=====

The energy of each structure relative to the most stable one, in eV/atom, is as follows: one 0.346; two 0.000; three 0.033.

=====

one | This record from Alexandria describes crystalline CdHgI2 at its relaxed geometry. The functional is GGA-PBE.

abc: 4.2950 4.2950 23.6736
angles: 90.00 90.00 120.00
Space group P6_3/mmc (No. 194)
Asymmetric unit:
Cd 0.0000 0.0000 0.0000 [2 per cell]
Hg 0.3333 0.6667 0.2500 [2 per cell]
I 0.3333 0.6667 0.0733 [4 per cell]

Summary:
Mass density   4.98 g cm⁻³
Calculated volume   378.2 Å³ per cell
Fermi-level density of states   0.00 states/eV/cell

=====

two | This record from Alexandria describes crystalline CdHgI2 at its relaxed geometry. The functional is GGA-PBE.

abc: 8.335 4.185 11.067
angles: 90.00 111.52 90.00
Space group P2_1/m (No. 11)
Asymmetric unit:
Cd 0.137 0.250 0.168 [2 per cell]
Hg 0.320 0.250 0.693 [2 per cell]
I 0.201 0.750 0.358 [2 per cell]
I 0.228 0.750 0.997 [2 per cell]

Summary:
Mass density   5.24 g cm⁻³
Calculated volume   359.2 Å³ per cell
Fermi-level density of states   0.00 states/eV/cell

=====

The energy of each structure relative to the most stable one, in eV/atom, is as follows: one 0.000; two 0.022.